[1]
DFT (PBE) results for In2SeBr after structural relaxation.

Summary:
Calculated total energy, eV per atom: -3.10
ρ, kg/m3: 4791
Energy above the lowest structure with this stoichiometry, meV per atom: 31
Formation energy from raw total energies, eV per atom: -0.45
Total magnetic moment, Bohr magnetons per cell: 0.000

abc: 4.0777 4.0777 8.0979
angles: 90.00 90.00 89.99
Last column: nearest neighbours and their distance in Å.
Positions (direct):
1 In 0.5000 0.5000 0.4086  4 Se 2.90, 1 Br 2.97
2 Se 0.0000 0.0000 0.3682  4 In 2.90
3 Br 0.5000 0.5000 0.7751  5 In 2.97-3.21
4 In 0.0000 0.0000 0.9482  4 Br 3.21, 1 Se 3.40

[2]
DFT (PBE) results for Ca2CuAg after structural relaxation.

Summary:
Calculated total energy, eV per atom: -2.85
ρ, kg/m3: 4257
Total magnetic moment, Bohr magnetons per cell: 0.000
ΔE_f, eV per atom: -0.11

abc: 6.0359 6.0359 5.0412
angles: 70.68 70.68 34.72
Last column: nearest neighbours and their distance in Å.
Positions (direct):
1 Ca 0.2236 0.2236 0.2981  4 Ag 3.14-3.22, 3 Cu 3.27-3.35, 2 Ca 3.37-3.39
2 Ag 0.7892 0.7892 0.7360  2 Cu 2.71
3 Cu 0.4716 0.4716 0.4997  2 Ag 2.71
4 Ca 0.0155 0.0155 0.9661  4 Cu 3.13-3.14, 3 Ag 3.20-3.46, 2 Ca 3.37-3.39

[3]
DFT (PBE) results for Pr5Nd2Sc after structural relaxation.

Summary:
Calculated total energy, eV per atom: -4.89
ρ, kg/m3: 6298
Total magnetic moment, Bohr magnetons per cell: 0.000
ΔE_f, eV per atom: 0.08

abc: 3.5669 11.3970 8.9981
angles: 129.29 101.42 90.00
Last column: nearest neighbours and their distance in Å.
Positions (direct):
1 Nd 0.2580 0.7589 0.5177  3 Pr 3.30-3.49, 2 Nd 3.57
2 Pr 0.0000 0.5000 0.0000  2 Nd 3.49, 10 Pr 3.57-3.72
3 Pr 0.3726 0.1288 0.7456  1 Nd 3.30, 3 Pr 3.42-3.57
4 Pr 0.6274 0.3831 0.2544  1 Nd 3.30, 3 Pr 3.42-3.57
5 Pr 0.6274 0.8712 0.2544  1 Nd 3.30, 3 Pr 3.42-3.57
6 Sc 0.0000 0.0000 0.0000  2 Sc 3.57, 4 Nd 3.70-3.71, 8 Pr 3.82
7 Nd 0.7420 0.2411 0.4823  3 Pr 3.30-3.49, 2 Nd 3.57
8 Pr 0.3726 0.6169 0.7456  1 Nd 3.30, 3 Pr 3.42-3.57